Entry 1:
Here is a relaxed BeCuN crystal from Alexandria via LeMat-Bulk. Energies are from PBE.

Results
ΔE_f (raw) in eV/atom: -0.278
E in eV/f.u.: -16.982

Cell: 2.8896 6.1392 3.0762 Å, 90.00 90.00 90.00°
Positions (direct):
Be 0.0000 0.0243 0.0000
Be 0.5000 0.9757 0.5000
Cu 0.0000 0.6251 0.9979
Cu 0.5000 0.3749 0.4979
N 0.0000 0.1399 0.4998
N 0.5000 0.8601 0.9998



Entry 2:
Here is a relaxed BeCuN crystal from Alexandria via LeMat-Bulk. Energies are from PBE.

Results
ΔE_f (raw) in eV/atom: 0.528
E in eV/f.u.: -14.565

Cell: 3.8386 3.8386 5.9404 Å, 90.00 90.00 120.00°
Positions (direct):
Be 0.0000 0.0000 0.2500
Be 0.0000 0.0000 0.7500
Cu 0.3333 0.6667 0.2500
Cu 0.6667 0.3333 0.7500
N 0.0000 0.0000 0.0000
N 0.0000 0.0000 0.5000



Entry 3:
Here is a relaxed Be2CuN crystal from Alexandria via LeMat-Bulk. Energies are from PBE.

Results
ΔE_f (raw) in eV/atom: -0.404
E in eV/f.u.: -21.488

Cell: 5.3032 5.3032 5.4735 Å, 105.49 105.49 28.65°
Positions (direct):
Be 0.0550 0.0550 0.2468
Be 0.1960 0.1960 0.6016
Be 0.8040 0.8040 0.3984
Be 0.9450 0.9450 0.7532
Cu 0.3573 0.3573 0.0444
Cu 0.6427 0.6427 0.9556
N 0.3667 0.3667 0.5952
N 0.6333 0.6333 0.4048



Entry 4:
Here is a relaxed BeCuN crystal from Alexandria via LeMat-Bulk. Energies are from PBE.

Results
ΔE_f (raw) in eV/atom: -0.004
E in eV/f.u.: -16.160

Cell: 3.7271 2.8637 5.6576 Å, 90.00 109.07 90.00°
Positions (direct):
Be 0.1416 0.0000 0.2851
Be 0.8584 0.0000 0.7149
Cu 0.3380 0.5000 0.6742
Cu 0.6620 0.5000 0.3258
N 0.0682 0.5000 0.1371
N 0.9318 0.5000 0.8629



Entry 5:
Here is a relaxed BeCuN2 crystal from Alexandria via LeMat-Bulk. Energies are from PBE.

Results
ΔE_f (raw) in eV/atom: 0.379
E in eV/f.u.: -22.956

Cell: 5.1507 5.1507 5.1507 Å, 132.52 132.52 69.40°
Positions (direct):
Be 0.0000 0.0000 0.0000
Be 0.7500 0.2500 0.5000
Cu 0.2500 0.7500 0.5000
Cu 0.5000 0.5000 0.0000
N 0.0866 0.6250 0.9616
N 0.3750 0.3366 0.4616
N 0.6634 0.1250 0.0384
N 0.8750 0.9134 0.5384



Entry 6:
Here is a relaxed Be2CuNiN crystal from Alexandria via LeMat-Bulk. Energies are from PBE.

Results
ΔE_f (raw) in eV/atom: 1.672
E in eV/f.u.: -17.297

Cell: 3.8961 3.8961 4.2478 Å, 90.00 90.00 90.00°
Positions (direct):
Be 0.0000 0.5000 0.0000
Be 0.5000 0.0000 0.0000
Cu 0.0000 0.0000 0.0000
Ni 0.0000 0.0000 0.5000
N 0.5000 0.5000 0.5000



Entry 7:
Here is a relaxed Pa2BeCuN5 crystal from Alexandria via LeMat-Bulk. Energies are from PBE.

Results
ΔE_f (raw) in eV/atom: -0.805
E in eV/f.u.: -75.685

Cell: 6.7594 6.7594 9.2159 Å, 90.00 90.00 151.63°
Positions (direct):
Pa 0.1261 0.8739 0.5000
Pa 0.1276 0.8724 0.0987
Pa 0.8724 0.1276 0.5987
Pa 0.8739 0.1261 0.0000
Be 0.4822 0.5178 0.2740
Be 0.5178 0.4822 0.7740
Cu 0.2039 0.7961 0.8028
Cu 0.7961 0.2039 0.3028
N 0.0477 0.9523 0.8204
N 0.2979 0.7021 0.4633
N 0.2993 0.7007 0.1403
N 0.3674 0.6326 0.8097
N 0.4994 0.5006 0.5787
N 0.5006 0.4994 0.0787
N 0.6326 0.3674 0.3097
N 0.7007 0.2993 0.6403
N 0.7021 0.2979 0.9633
N 0.9523 0.0477 0.3204



Entry 8:
Here is a relaxed BeCuPb2N crystal from Alexandria via LeMat-Bulk. Energies are from PBE.

Results
ΔE_f (raw) in eV/atom: 1.339
E in eV/f.u.: -16.870

Cell: 5.2652 5.2652 4.2943 Å, 90.00 90.00 90.00°
Positions (direct):
Be 0.0000 0.0000 0.0000
Cu 0.0000 0.0000 0.5000
Pb 0.0000 0.5000 0.5000
Pb 0.5000 0.0000 0.5000
N 0.5000 0.5000 0.0000



Which of these has the highest ΔE_f (raw)?
Be2CuNiN